Entry 1:
# CaLa4Sm2, relaxed, DFT PBE
# formation energy from the elements = 0.02 eV/atom
data_CaLa4Sm2
_chemical_formula_sum 'Ca1 La4 Sm2'
_space_group_name_H-M_alt 'P 1'
_space_group_IT_number 1
_cell_length_a 21.571
_cell_length_b 21.571
_cell_length_c 21.571
_cell_angle_alpha 9.89
_cell_angle_beta 9.89
_cell_angle_gamma 9.89
loop_
_space_group_symop_operation_xyz
'x,y,z'
loop_
_atom_site_label
_atom_site_type_symbol
_atom_site_fract_x
_atom_site_fract_y
_atom_site_fract_z
_atom_site_occupancy
Ca1 Ca 0.000 0.000 0.000 1
La1 La 0.143 0.143 0.143 1
La2 La 0.283 0.283 0.283 1
La3 La 0.717 0.717 0.717 1
La4 La 0.857 0.857 0.857 1
Sm1 Sm 0.429 0.429 0.429 1
Sm2 Sm 0.571 0.571 0.571 1

=====

Entry 2:
# Ca2La5Sm6, relaxed, DFT PBE
# formation energy from the elements = 0.12 eV/atom
data_Ca2La5Sm6
_chemical_formula_sum 'Ca4 La10 Sm12'
_space_group_name_H-M_alt 'P 1'
_space_group_IT_number 1
_cell_length_a 12.286
_cell_length_b 21.052
_cell_length_c 3.650
_cell_angle_alpha 90.00
_cell_angle_beta 90.00
_cell_angle_gamma 90.00
loop_
_space_group_symop_operation_xyz
'x,y,z'
loop_
_atom_site_label
_atom_site_type_symbol
_atom_site_fract_x
_atom_site_fract_y
_atom_site_fract_z
_atom_site_occupancy
Ca1 Ca 0.164 0.215 0.000 1
Ca2 Ca 0.336 0.715 0.000 1
Ca3 Ca 0.664 0.285 0.000 1
Ca4 Ca 0.836 0.785 0.000 1
La1 La 0.000 0.500 0.500 1
La2 La 0.098 0.782 0.500 1
La3 La 0.208 0.049 0.500 1
La4 La 0.292 0.549 0.500 1
La5 La 0.402 0.282 0.500 1
La6 La 0.500 0.000 0.500 1
La7 La 0.598 0.718 0.500 1
La8 La 0.708 0.451 0.500 1
La9 La 0.792 0.951 0.500 1
La10 La 0.902 0.218 0.500 1
Sm1 Sm 0.055 0.923 0.000 1
Sm2 Sm 0.070 0.639 0.000 1
Sm3 Sm 0.186 0.377 0.500 1
Sm4 Sm 0.314 0.877 0.500 1
Sm5 Sm 0.430 0.139 0.000 1
Sm6 Sm 0.445 0.423 0.000 1
Sm7 Sm 0.555 0.577 0.000 1
Sm8 Sm 0.570 0.861 0.000 1
Sm9 Sm 0.686 0.123 0.500 1
Sm10 Sm 0.814 0.623 0.500 1
Sm11 Sm 0.930 0.361 0.000 1
Sm12 Sm 0.945 0.077 0.000 1

=====

Entry 3:
# Ca2La5Sm4, relaxed, DFT PBE
# formation energy from the elements = 0.06 eV/atom
data_Ca2La5Sm4
_chemical_formula_sum 'Ca2 La5 Sm4'
_space_group_name_H-M_alt 'P 1'
_space_group_IT_number 1
_cell_length_a 9.804
_cell_length_b 9.804
_cell_length_c 8.341
_cell_angle_alpha 104.62
_cell_angle_beta 104.62
_cell_angle_gamma 31.29
loop_
_space_group_symop_operation_xyz
'x,y,z'
loop_
_atom_site_label
_atom_site_type_symbol
_atom_site_fract_x
_atom_site_fract_y
_atom_site_fract_z
_atom_site_occupancy
Ca1 Ca 0.044 0.044 0.227 1
Ca2 Ca 0.956 0.956 0.773 1
La1 La 0.229 0.229 0.131 1
La2 La 0.316 0.316 0.583 1
La3 La 0.500 0.500 0.500 1
La4 La 0.684 0.684 0.417 1
La5 La 0.771 0.771 0.869 1
Sm1 Sm 0.141 0.141 0.690 1
Sm2 Sm 0.405 0.405 0.050 1
Sm3 Sm 0.595 0.595 0.950 1
Sm4 Sm 0.859 0.859 0.310 1

=====

Entry 4:
# CaLa4Sm, relaxed, DFT PBE
# formation energy from the elements = 0.04 eV/atom
# energy relative to the lowest polymorph listed for this composition = 0.00 eV/f.u.
data_CaLa4Sm
_chemical_formula_sum 'Ca1 La4 Sm1'
_space_group_name_H-M_alt 'P 1'
_space_group_IT_number 1
_cell_length_a 3.689
_cell_length_b 5.343
_cell_length_c 11.258
_cell_angle_alpha 90.00
_cell_angle_beta 90.00
_cell_angle_gamma 90.00
loop_
_space_group_symop_operation_xyz
'x,y,z'
loop_
_atom_site_label
_atom_site_type_symbol
_atom_site_fract_x
_atom_site_fract_y
_atom_site_fract_z
_atom_site_occupancy
Ca1 Ca 0.000 0.000 0.000 1
La1 La 0.000 0.000 0.335 1
La2 La 0.000 0.000 0.665 1
La3 La 0.500 0.500 0.185 1
La4 La 0.500 0.500 0.815 1
Sm1 Sm 0.500 0.500 0.500 1

=====

Entry 5:
# Ca2La2Sm, relaxed, DFT PBE
# formation energy from the elements = 0.03 eV/atom
data_Ca2La2Sm
_chemical_formula_sum 'Ca2 La2 Sm1'
_space_group_name_H-M_alt 'P 1'
_space_group_IT_number 1
_cell_length_a 3.751
_cell_length_b 3.751
_cell_length_c 15.701
_cell_angle_alpha 90.03
_cell_angle_beta 90.03
_cell_angle_gamma 59.98
loop_
_space_group_symop_operation_xyz
'x,y,z'
loop_
_atom_site_label
_atom_site_type_symbol
_atom_site_fract_x
_atom_site_fract_y
_atom_site_fract_z
_atom_site_occupancy
Ca1 Ca 0.166 0.166 0.396 1
Ca2 Ca 0.834 0.834 0.604 1
La1 La 0.166 0.166 0.813 1
La2 La 0.834 0.834 0.187 1
Sm1 Sm 0.500 0.500 0.000 1

=====

Entry 6:
# CaLa2Sm8, relaxed, DFT PBE
# formation energy from the elements = 0.16 eV/atom
data_CaLa2Sm8
_chemical_formula_sum 'Ca1 La2 Sm8'
_space_group_name_H-M_alt 'P 1'
_space_group_IT_number 1
_cell_length_a 9.543
_cell_length_b 9.543
_cell_length_c 9.543
_cell_angle_alpha 145.23
_cell_angle_beta 126.89
_cell_angle_gamma 65.06
loop_
_space_group_symop_operation_xyz
'x,y,z'
loop_
_atom_site_label
_atom_site_type_symbol
_atom_site_fract_x
_atom_site_fract_y
_atom_site_fract_z
_atom_site_occupancy
Ca1 Ca 0.000 0.000 0.000 1
La1 La 0.297 0.297 0.000 1
La2 La 0.703 0.703 0.000 1
Sm1 Sm 0.158 0.658 0.500 1
Sm2 Sm 0.158 0.861 0.298 1
Sm3 Sm 0.304 0.500 0.804 1
Sm4 Sm 0.437 0.139 0.298 1
Sm5 Sm 0.563 0.861 0.702 1
Sm6 Sm 0.696 0.500 0.196 1
Sm7 Sm 0.842 0.139 0.702 1
Sm8 Sm 0.842 0.342 0.500 1

=====

Entry 7:
# CaLa4Sm3, relaxed, DFT PBE
# formation energy from the elements = 0.11 eV/atom
data_CaLa4Sm3
_chemical_formula_sum 'Ca1 La4 Sm3'
_space_group_name_H-M_alt 'P 1'
_space_group_IT_number 1
_cell_length_a 9.255
_cell_length_b 9.255
_cell_length_c 9.255
_cell_angle_alpha 157.88
_cell_angle_beta 99.16
_cell_angle_gamma 85.09
loop_
_space_group_symop_operation_xyz
'x,y,z'
loop_
_atom_site_label
_atom_site_type_symbol
_atom_site_fract_x
_atom_site_fract_y
_atom_site_fract_z
_atom_site_occupancy
Ca1 Ca 0.000 0.000 0.000 1
La1 La 0.115 0.865 0.250 1
La2 La 0.386 0.135 0.250 1
La3 La 0.614 0.865 0.750 1
La4 La 0.885 0.135 0.750 1
Sm1 Sm 0.247 0.747 0.500 1
Sm2 Sm 0.500 0.500 0.000 1
Sm3 Sm 0.753 0.253 0.500 1

=====

Entry 8:
# CaLa4Sm5, relaxed, DFT PBE
# formation energy from the elements = 0.04 eV/atom
data_CaLa4Sm5
_chemical_formula_sum 'Ca1 La4 Sm5'
_space_group_name_H-M_alt 'P 1'
_space_group_IT_number 1
_cell_length_a 6.388
_cell_length_b 7.394
_cell_length_c 8.281
_cell_angle_alpha 76.98
_cell_angle_beta 75.08
_cell_angle_gamma 73.67
loop_
_space_group_symop_operation_xyz
'x,y,z'
loop_
_atom_site_label
_atom_site_type_symbol
_atom_site_fract_x
_atom_site_fract_y
_atom_site_fract_z
_atom_site_occupancy
Ca1 Ca 0.000 0.000 0.000 1
La1 La 0.206 0.797 0.590 1
La2 La 0.412 0.594 0.200 1
La3 La 0.588 0.406 0.800 1
La4 La 0.794 0.203 0.410 1
Sm1 Sm 0.000 0.500 0.000 1
Sm2 Sm 0.203 0.303 0.595 1
Sm3 Sm 0.397 0.104 0.204 1
Sm4 Sm 0.603 0.896 0.796 1
Sm5 Sm 0.797 0.697 0.405 1

=====

Entry 9:
# CaLa2Sm4, relaxed, DFT PBE
# formation energy from the elements = 0.03 eV/atom
data_CaLa2Sm4
_chemical_formula_sum 'Ca1 La2 Sm4'
_space_group_name_H-M_alt 'P 1'
_space_group_IT_number 1
_cell_length_a 21.356
_cell_length_b 21.356
_cell_length_c 21.356
_cell_angle_alpha 9.90
_cell_angle_beta 9.90
_cell_angle_gamma 9.90
loop_
_space_group_symop_operation_xyz
'x,y,z'
loop_
_atom_site_label
_atom_site_type_symbol
_atom_site_fract_x
_atom_site_fract_y
_atom_site_fract_z
_atom_site_occupancy
Ca1 Ca 0.000 0.000 0.000 1
La1 La 0.429 0.429 0.429 1
La2 La 0.571 0.571 0.571 1
Sm1 Sm 0.144 0.144 0.144 1
Sm2 Sm 0.283 0.283 0.283 1
Sm3 Sm 0.717 0.717 0.717 1
Sm4 Sm 0.856 0.856 0.856 1

=====

Entry 10:
# CaLa4Sm15, relaxed, DFT PBE
# formation energy from the elements = 0.03 eV/atom
data_CaLa4Sm15
_chemical_formula_sum 'Ca1 La4 Sm15'
_space_group_name_H-M_alt 'P 1'
_space_group_IT_number 1
_cell_length_a 5.189
_cell_length_b 5.189
_cell_length_c 25.857
_cell_angle_alpha 90.00
_cell_angle_beta 90.00
_cell_angle_gamma 90.00
loop_
_space_group_symop_operation_xyz
'x,y,z'
loop_
_atom_site_label
_atom_site_type_symbol
_atom_site_fract_x
_atom_site_fract_y
_atom_site_fract_z
_atom_site_occupancy
Ca1 Ca 0.000 0.000 0.000 1
La1 La 0.000 0.000 0.200 1
La2 La 0.000 0.000 0.400 1
La3 La 0.000 0.000 0.600 1
La4 La 0.000 0.000 0.800 1
Sm1 Sm 0.000 0.500 0.102 1
Sm2 Sm 0.000 0.500 0.301 1
Sm3 Sm 0.000 0.500 0.500 1
Sm4 Sm 0.000 0.500 0.699 1
Sm5 Sm 0.000 0.500 0.898 1
Sm6 Sm 0.500 0.000 0.102 1
Sm7 Sm 0.500 0.000 0.301 1
Sm8 Sm 0.500 0.000 0.500 1
Sm9 Sm 0.500 0.000 0.699 1
Sm10 Sm 0.500 0.000 0.898 1
Sm11 Sm 0.500 0.500 0.000 1
Sm12 Sm 0.500 0.500 0.199 1
Sm13 Sm 0.500 0.500 0.400 1
Sm14 Sm 0.500 0.500 0.600 1
Sm15 Sm 0.500 0.500 0.801 1

=====

Respective calculated density values: 5.8, 5.9, 5.7, 5.6, 4.4, 6.4, 6.0, 6.3, 6.1, 6.8 g/cm3.